! TbTmTlCo PBE-GGA relaxed; values from VASP
! Space-group type: F-43m (216)
! E in eV per atom: -4.7693
! Calculated formation energy in eV/atom: -0.13
! Spin magnetization in μB per formula unit: 1.250
&SYSTEM
  ibrav = 0, nat = 4, ntyp = 4
/
ATOMIC_SPECIES
Tl 204.38 Tl.upf
Co 58.93 Co.upf
Tm 168.93 Tm.upf
Tb 158.93 Tb.upf
CELL_PARAMETERS angstrom
-3.443 2.383 2.880
0.316 -0.248 5.067
1.330 4.117 2.668
ATOMIC_POSITIONS crystal
Tl 0.250 0.250 0.250
Co 0.750 0.750 0.750
Tm 0.000 0.000 0.000
Tb 0.500 0.500 0.500


! TbYTlCo PBE-GGA relaxed; values from VASP
! Space-group type: F-43m (216)
! E in eV per atom: -5.2707
! Calculated formation energy in eV/atom: -0.13
! Spin magnetization in μB per formula unit: 1.260
&SYSTEM
  ibrav = 0, nat = 4, ntyp = 4
/
ATOMIC_SPECIES
Tl 204.38 Tl.upf
Co 58.93 Co.upf
Y 88.91 Y.upf
Tb 158.93 Tb.upf
CELL_PARAMETERS angstrom
-3.967 2.644 1.880
-1.136 -0.286 4.989
0.825 4.034 3.051
ATOMIC_POSITIONS crystal
Tl 0.000 0.000 0.000
Co 0.500 0.500 0.500
Y 0.750 0.750 0.750
Tb 0.250 0.250 0.250


! Tb2TmCo9 PBE-GGA relaxed; values from VASP
! Space-group type: R-3m (166)
! E in eV per atom: -6.6493
! Calculated formation energy in eV/atom: -0.18
! Spin magnetization in μB per formula unit: 10.561
&SYSTEM
  ibrav = 0, nat = 12, ntyp = 3
/
ATOMIC_SPECIES
Co 58.93 Co.upf
Tm 168.93 Tm.upf
Tb 158.93 Tb.upf
CELL_PARAMETERS angstrom
4.958 0.000 0.000
2.479 4.293 0.000
2.479 1.431 8.149
ATOMIC_POSITIONS crystal
Co 0.581 0.079 0.758
Co 0.334 0.334 0.997
Co 0.500 0.500 0.500
Co 0.921 0.419 0.242
Co 0.419 0.921 0.242
Co 0.419 0.419 0.242
Co 0.581 0.581 0.758
Co 0.666 0.666 0.003
Co 0.079 0.581 0.758
Tm 0.000 0.000 0.000
Tb 0.861 0.861 0.418
Tb 0.139 0.139 0.582


Question: The lowest spin magnetization belongs to which entry?
Answer: TbTmTlCo